(1)
Density functional theory data (PBE) for an optimized crystal structure of Ni2Se.

Cell lengths 3.7346, 3.7346, 3.4093 Å; angles 90.00, 90.00, 120.00 degrees
Sites, in units of the cell vectors:
Ni 0.3333 0.6667 0.2022
Ni 0.6667 0.3333 0.7978
Se 0.0000 0.0000 0.5000

Values from the calculation:
Uncorrected energy in eV/cell: -14.8
DOS at the Fermi energy in states/eV/f.u.: 2.7
Energy relative to the elements, uncorrected in eV per atom: 0.08

***

(2)
Density functional theory data (PBE) for an optimized crystal structure of Ni5Se8.

Cell lengths 7.0447, 7.0447, 7.0447 Å; angles 60.00, 60.00, 60.00 degrees
Sites, in units of the cell vectors:
Ni 0.0000 0.0000 0.0000
Ni 0.1338 0.6221 0.6221
Ni 0.6221 0.1338 0.6221
Ni 0.6221 0.6221 0.1338
Ni 0.6221 0.6221 0.6221
Se 0.3837 0.3837 0.3837
Se 0.3837 0.3837 0.8490
Se 0.3837 0.8490 0.3837
Se 0.4027 0.8658 0.8658
Se 0.8490 0.3837 0.3837
Se 0.8658 0.4027 0.8658
Se 0.8658 0.8658 0.4027
Se 0.8658 0.8658 0.8658

Values from the calculation:
Uncorrected energy in eV/cell: -60.3
DOS at the Fermi energy in states/eV/f.u.: 7.8
Energy relative to the elements, uncorrected in eV per atom: -0.27

***

(3)
Density functional theory data (PBE) for an optimized crystal structure of NiSe7.

Cell lengths 6.0389, 6.0389, 6.0389 Å; angles 60.00, 60.00, 60.00 degrees
Sites, in units of the cell vectors:
Ni 0.0000 0.0000 0.0000
Se 0.0000 0.0000 0.5000
Se 0.0000 0.5000 0.0000
Se 0.0000 0.5000 0.5000
Se 0.5000 0.0000 0.0000
Se 0.5000 0.0000 0.5000
Se 0.5000 0.5000 0.0000
Se 0.5000 0.5000 0.5000

Values from the calculation:
Uncorrected energy in eV/cell: -24.2
DOS at the Fermi energy in states/eV/f.u.: 9.3
Energy relative to the elements, uncorrected in eV per atom: 0.75

***

(4)
Density functional theory data (PBE) for an optimized crystal structure of NiSe5.

Cell lengths 5.0221, 5.0221, 8.3485 Å; angles 90.00, 90.00, 120.00 degrees
Sites, in units of the cell vectors:
Ni 0.0000 0.0000 0.0000
Se 0.0000 0.5000 0.5000
Se 0.3333 0.6667 0.0000
Se 0.5000 0.0000 0.5000
Se 0.5000 0.5000 0.5000
Se 0.6667 0.3333 0.0000

Values from the calculation:
Uncorrected energy in eV/cell: -18.7
DOS at the Fermi energy in states/eV/f.u.: 7.8
Energy relative to the elements, uncorrected in eV per atom: 0.75
Energy above the most stable polymorph in this dataset in meV per atom: 819

***

Among the records above, which one has the highest uncorrected energy?
Ni2Se

***

Which of these has the highest DOS at the Fermi energy?
NiSe7

***

Among the records above, which one has the lowest DOS at the Fermi energy?
Ni2Se